VASP calculation (GGA+U) on an optimized crystal structure of Mn2F13.

Geometry as POSCAR:
```
Mn2F13
1.0
-2.179 -2.732 -3.335
-3.388 -1.435 5.430
-1.859 5.950 -3.921
F Mn
13 2
Cartesian
-4.095 4.241 -2.628
-5.162 0.541 -2.466
-4.975 1.879 1.794
-2.192 -0.294 -1.386
-2.264 1.242 0.641
-5.234 2.077 -0.439
-5.041 -0.463 -0.085
-2.451 -0.096 -3.619
0.000 0.000 0.000
-3.558 -0.385 3.115
-3.331 -2.458 0.803
-3.868 2.168 -4.940
-2.385 2.246 -1.740
-6.196 0.606 -0.912
-1.230 1.177 -0.913
```

Calculated values
total magnetization = 2.95 μB per formula unit
space group = No. 2
total energy = -3.89 eV per atom